{
  "formula": "Y2HfOs",
  "functional": "PBE",
  "state": "relaxed",
  "e_above_lowest_polymorph_mev_per_atom": 0.0,
  "n_ef_per_ev_cell": 6.03,
  "sg": "No. 225",
  "lattice": [[-4.731, -1.587, 0.669], [-3.472, 0.872, -3.540], [-1.791, -3.809, -2.762]],
  "species": ["Y", "Y", "Hf", "Os"],
  "frac_coords": [[0.250, 0.250, 0.250], [0.750, 0.750, 0.750], [0.000, 0.000, 0.000], [0.500, 0.500, 0.500]]
}